ErMnSeO2 PBE with a Hubbard U optimized geometry; space-group type = No. 107; electronic total energy = -7.10 eV/atom; total moment = 0.81 μB per atom; V = 17.2 Å³/atom
1.0
-1.894 1.894 5.978
1.894 -1.894 5.978
1.894 1.894 -5.978
Er Mn Se O
1 1 1 2
direct
0.000 0.000 0.000 Er
0.652 0.652 0.000 Mn
0.368 0.368 0.000 Se
0.104 0.604 0.500 O
0.604 0.104 0.500 O